Pm4ZnSe2Cl after structural relaxation, computed with PBE.

Computed properties:
Magnetization, μB per cell: 0.00
ΔE_f (raw), meV per atom: -1345

```
Pm4ZnSe2Cl
1.0
7.2925 0.0000 0.0000
0.0000 4.1059 0.0000
-2.2874 0.0000 6.9465
Pm Zn Se Cl
4 1 2 1
direct
0.2370 0.0000 0.2436
0.2468 0.5000 0.7489
0.7532 0.5000 0.2511
0.7630 0.0000 0.7564
0.0000 0.0000 0.5000
0.0000 0.5000 0.0000
0.5000 0.0000 0.0000
0.5000 0.5000 0.5000
```

=====

Pm3SiCl3 after structural relaxation, computed with PBE.

Computed properties:
Magnetization, μB per cell: 0.00
Energy relative to the lowest polymorph listed for this composition, meV per atom: 56.8
ΔE_f (raw), meV per atom: -1569

```
Pm3SiCl3
1.0
5.7708 0.0000 0.0000
0.0000 5.7708 0.0000
0.0000 0.0000 5.7708
Pm Si Cl
3 1 3
direct
0.0000 0.0000 0.5000
0.0000 0.5000 0.0000
0.5000 0.0000 0.0000
0.0000 0.0000 0.0000
0.0000 0.5000 0.5000
0.5000 0.0000 0.5000
0.5000 0.5000 0.0000
```

=====

Pm2SiCl after structural relaxation, computed with PBE.

Computed properties:
Magnetization, μB per cell: 0.00
Energy relative to the lowest polymorph listed for this composition, meV per atom: 0.0
ΔE_f (raw), meV per atom: -1180

```
Pm2SiCl
1.0
2.1063 1.2161 6.9161
-2.1063 1.2161 6.9161
0.0000 -2.4322 6.9161
Pm Si Cl
2 1 1
direct
0.2412 0.2412 0.2412
0.7588 0.7588 0.7588
0.5000 0.5000 0.5000
0.0000 0.0000 0.0000
```

=====

Pm2SiCl after structural relaxation, computed with PBE.

Computed properties:
Magnetization, μB per cell: 0.00
Energy relative to the lowest polymorph listed for this composition, meV per atom: 336.8
ΔE_f (raw), meV per atom: -844

```
Pm2SiCl
1.0
3.4935 0.0000 0.0000
0.0000 5.3578 0.0000
0.0000 0.0000 10.9984
Pm Si Cl
4 2 2
direct
0.2500 0.2500 0.1085
0.2500 0.2500 0.6333
0.7500 0.7500 0.3667
0.7500 0.7500 0.8915
0.2500 0.2500 0.3686
0.7500 0.7500 0.6314
0.2500 0.7500 0.1146
0.7500 0.2500 0.8854
```

=====

Pm3Si2Cl3 after structural relaxation, computed with PBE.

Computed properties:
Magnetization, μB per cell: 0.00
ΔE_f (raw), meV per atom: -1389

```
Pm3Si2Cl3
1.0
8.8142 0.0000 0.0000
-4.4071 7.6333 0.0000
0.0000 0.0000 5.5340
Pm Si Cl
6 4 6
direct
0.0000 0.3695 0.2500
0.0000 0.6305 0.7500
0.3695 0.0000 0.2500
0.3695 0.3695 0.7500
0.6305 0.0000 0.7500
0.6305 0.6305 0.2500
0.3333 0.6667 0.0000
0.3333 0.6667 0.5000
0.6667 0.3333 0.0000
0.6667 0.3333 0.5000
0.0000 0.2394 0.7500
0.0000 0.7606 0.2500
0.2394 0.0000 0.7500
0.2394 0.2394 0.2500
0.7606 0.0000 0.2500
0.7606 0.7606 0.7500
```

=====

Pm2SiCl3 after structural relaxation, computed with PBE.

Computed properties:
Magnetization, μB per cell: 0.00
ΔE_f (raw), meV per atom: -1609

```
Pm2SiCl3
1.0
9.3249 -2.0427 0.0000
9.3249 2.0427 0.0000
-8.0507 0.0000 9.8508
Pm Si Cl
4 2 6
direct
0.1176 0.1176 0.4434
0.3723 0.3723 0.1762
0.6277 0.6277 0.8238
0.8824 0.8824 0.5566
0.0589 0.0589 0.6171
0.9411 0.9411 0.3829
0.1771 0.1771 0.0212
0.2567 0.2567 0.3910
0.4519 0.4519 0.7579
0.5481 0.5481 0.2421
0.7433 0.7433 0.6090
0.8229 0.8229 0.9788
```

=====

Pm4Si3Cl after structural relaxation, computed with PBE.

Computed properties:
Magnetization, μB per cell: 0.00
ΔE_f (raw), meV per atom: -893

```
Pm4Si3Cl
1.0
5.9232 0.0000 0.0000
0.0000 5.9232 0.0000
0.0000 0.0000 5.9232
Pm Si Cl
4 3 1
direct
0.0000 0.0000 0.0000
0.0000 0.5000 0.5000
0.5000 0.0000 0.5000
0.5000 0.5000 0.0000
0.0000 0.0000 0.5000
0.0000 0.5000 0.0000
0.5000 0.0000 0.0000
0.5000 0.5000 0.5000
```

=====

Pm4Si2Cl3 after structural relaxation, computed with PBE.

Computed properties:
Magnetization, μB per cell: 0.00
ΔE_f (raw), meV per atom: -1399

```
Pm4Si2Cl3
1.0
3.6289 -2.0953 0.0000
3.6289 2.0953 0.0000
-0.0794 0.0000 17.0267
Pm Si Cl
4 2 3
direct
0.0033 0.0033 0.3018
0.3346 0.3346 0.1118
0.6654 0.6654 0.8882
0.9967 0.9967 0.6982
0.3311 0.3311 0.7970
0.6689 0.6689 0.2030
0.0000 0.0000 0.0000
0.3376 0.3376 0.3955
0.6624 0.6624 0.6045
```

=====

Pm6Si2Cl after structural relaxation, computed with PBE.

Computed properties:
Magnetization, μB per cell: 0.54
ΔE_f (raw), meV per atom: -538

```
Pm6Si2Cl
1.0
8.1230 0.0000 0.0000
-4.0615 7.0347 0.0000
0.0000 0.0000 4.2332
Pm Si Cl
6 2 1
direct
0.0000 0.2651 0.0000
0.0000 0.5820 0.5000
0.2651 0.0000 0.0000
0.4180 0.4180 0.5000
0.5820 0.0000 0.5000
0.7349 0.7349 0.0000
0.3333 0.6667 0.0000
0.6667 0.3333 0.0000
0.0000 0.0000 0.5000
```

=====

Pm2SiCl after structural relaxation, computed with PBE.

Computed properties:
Magnetization, μB per cell: 0.00
Energy relative to the lowest polymorph listed for this composition, meV per atom: 57.1
ΔE_f (raw), meV per atom: -1123

```
Pm2SiCl
1.0
2.0682 1.1941 7.3927
-2.0682 1.1941 7.3927
0.0000 -2.3881 7.3927
Pm Si Cl
2 1 1
direct
0.0000 0.0000 0.0000
0.1913 0.1913 0.1913
0.5962 0.5962 0.5962
0.4251 0.4251 0.4251
```

=====

Pm2SiCl2 after structural relaxation, computed with PBE.

Computed properties:
Magnetization, μB per cell: 0.00
Energy relative to the lowest polymorph listed for this composition, meV per atom: 0.0
ΔE_f (raw), meV per atom: -1569

```
Pm2SiCl2
1.0
3.6317 -2.0959 0.0000
3.6317 2.0959 0.0000
-0.0991 0.0000 9.9284
Pm Si Cl
2 1 2
direct
0.1691 0.1691 0.1689
0.8309 0.8309 0.8311
0.5000 0.5000 0.0000
0.1620 0.1620 0.6718
0.8380 0.8380 0.3282
```

=====

Pm3SiCl after structural relaxation, computed with PBE.

Computed properties:
Magnetization, μB per cell: 0.00
ΔE_f (raw), meV per atom: -806

```
Pm3SiCl
1.0
2.1054 -7.5374 0.0000
2.1054 7.5374 0.0000
0.0000 0.0000 9.4932
Pm Si Cl
6 2 2
direct
0.1205 0.8795 0.7500
0.3376 0.6624 0.5579
0.3376 0.6624 0.9421
0.6624 0.3376 0.0579
0.6624 0.3376 0.4421
0.8795 0.1205 0.2500
0.2461 0.7539 0.2500
0.7539 0.2461 0.7500
0.4879 0.5121 0.7500
0.5121 0.4879 0.2500
```